Record 1
Sr2Ca6Nd | PBE | relaxed

Cell and atoms, written as POSCAR:
```
Sr2Ca6Nd
1.0
3.919 0.000 0.000
-1.960 3.394 0.000
0.000 0.000 29.608
Ca Nd Sr
6 1 2
Direct
0.333 0.667 0.211
0.333 0.667 0.561
0.333 0.667 0.789
0.667 0.333 0.898
0.667 0.333 0.102
0.333 0.667 0.439
0.333 0.667 0.000
0.667 0.333 0.675
0.667 0.333 0.325
```

Values from the calculation:
symmetry = P-6m2

Record 2
Sr2CaNd | PBE | relaxed

Cell and atoms, written as POSCAR:
```
Sr2CaNd
1.0
-0.510 -2.293 3.078
-2.663 -2.809 -0.099
8.534 -10.614 -4.059
Sr Nd Ca
2 1 1
Direct
0.087 0.087 0.739
0.913 0.913 0.261
0.000 0.000 0.000
0.500 0.500 0.500
```

Values from the calculation:
symmetry = R-3m
polymorph energy (0 for the lowest one) = 0.56 eV/f.u.

Record 3
Sr2Ca8Nd | PBE | relaxed

Cell and atoms, written as POSCAR:
```
Sr2Ca8Nd
1.0
-1.146 -0.641 5.869
5.897 0.163 1.170
-0.655 13.770 1.376
Ca Sr Nd
8 2 1
Direct
0.500 0.000 0.141
0.000 0.500 0.859
0.500 0.000 0.859
0.500 0.000 0.500
0.500 0.500 0.328
0.000 0.500 0.141
0.000 0.500 0.500
0.500 0.500 0.672
0.000 0.000 0.315
0.000 0.000 0.685
0.000 0.000 0.000
```

Values from the calculation:
symmetry = P4/mmm
polymorph energy (0 for the lowest one) = 0.18 eV/f.u.

Record 4
Sr2CaNd | PBE | relaxed

Cell and atoms, written as POSCAR:
```
Sr2CaNd
1.0
4.417 0.000 0.000
0.000 6.326 0.000
0.000 0.000 6.326
Nd Sr Ca
1 2 1
Direct
0.500 0.500 0.500
0.000 0.000 0.500
0.000 0.500 0.000
0.500 0.000 0.000
```

Values from the calculation:
symmetry = P4/mmm
polymorph energy (0 for the lowest one) = 0.12 eV/f.u.

Record 5
Sr2CaNd | PBE | relaxed

Cell and atoms, written as POSCAR:
```
Sr2CaNd
1.0
3.942 0.000 0.000
0.000 3.942 0.000
0.000 0.000 11.550
Nd Sr Ca
1 2 1
Direct
0.500 0.500 0.000
0.000 0.000 0.241
0.000 0.000 0.759
0.500 0.500 0.500
```

Values from the calculation:
symmetry = P4/mmm
polymorph energy (0 for the lowest one) = 0.02 eV/f.u.

Record 6
SrCa14Nd | PBE | relaxed

Cell and atoms, written as POSCAR:
```
SrCa14Nd
1.0
-4.476 0.916 -6.322
5.999 -4.983 -0.144
-7.694 -9.381 4.088
Ca Sr Nd
14 1 1
Direct
0.209 0.791 0.000
0.874 0.126 0.752
0.708 0.791 0.000
0.874 0.126 0.248
0.379 0.129 0.750
0.376 0.624 0.254
0.040 0.458 0.500
0.542 0.960 0.500
0.376 0.624 0.746
0.379 0.129 0.250
0.871 0.621 0.250
0.709 0.291 0.000
0.871 0.621 0.750
0.209 0.292 0.000
0.041 0.959 0.500
0.541 0.459 0.500
```

Values from the calculation:
symmetry = Amm2

Record 7
SrCa4Nd2 | PBE | relaxed

Cell and atoms, written as POSCAR:
```
SrCa4Nd2
1.0
-1.842 -3.041 1.513
1.563 -1.928 2.961
-10.650 11.901 15.892
Sr Ca Nd
1 4 2
Direct
0.000 0.000 0.000
0.384 0.384 0.847
0.616 0.616 0.153
0.901 0.901 0.298
0.099 0.099 0.702
0.187 0.187 0.438
0.813 0.813 0.562
```

Values from the calculation:
symmetry = R-3m

Record 8
Sr2CaNd | PBE | relaxed

Cell and atoms, written as POSCAR:
```
Sr2CaNd
1.0
3.965 0.000 0.000
1.982 3.434 0.000
1.982 1.145 13.198
Ca Nd Sr
1 1 2
Direct
0.500 0.500 0.500
0.667 0.667 0.000
0.252 0.252 0.243
0.081 0.081 0.757
```

Values from the calculation:
symmetry = R3m
polymorph energy (0 for the lowest one) = 0.00 eV/f.u.

Record 9
Sr2Ca8Nd | PBE | relaxed

Cell and atoms, written as POSCAR:
```
Sr2Ca8Nd
1.0
6.523 -0.134 -1.097
-0.246 6.759 -2.288
-0.828 0.030 11.316
Ca Sr Nd
8 2 1
Direct
0.069 0.172 0.344
0.958 0.577 0.154
0.486 0.330 0.172
0.514 0.158 0.828
0.042 0.423 0.846
0.486 0.842 0.172
0.514 0.670 0.828
0.931 0.828 0.656
0.350 0.738 0.475
0.650 0.262 0.525
0.000 0.000 0.000
```

Values from the calculation:
symmetry = C2/m
polymorph energy (0 for the lowest one) = 0.00 eV/f.u.

Record 10
Sr2CaNd | PBE | relaxed

Cell and atoms, written as POSCAR:
```
Sr2CaNd
1.0
-1.074 6.203 0.450
-2.325 2.420 5.345
3.657 3.575 3.698
Sr Ca Nd
2 1 1
Direct
0.250 0.250 0.250
0.750 0.750 0.750
0.500 0.500 0.500
0.000 0.000 0.000
```

Values from the calculation:
symmetry = Fm-3m
polymorph energy (0 for the lowest one) = 0.12 eV/f.u.

Record 11
Sr2Ca3NdTe6 | PBE | relaxed

Cell and atoms, written as POSCAR:
```
Sr2Ca3NdTe6
1.0
-3.529 -0.655 -2.830
-5.080 -3.052 7.040
-0.046 10.154 1.397
Sr Te Ca Nd
2 6 3 1
Direct
0.834 0.667 0.667
0.166 0.333 0.333
0.663 0.591 0.327
0.003 0.752 0.006
0.997 0.248 0.994
0.666 0.074 0.332
0.337 0.409 0.673
0.334 0.926 0.668
0.167 0.833 0.334
0.500 0.500 0.000
0.833 0.167 0.666
0.500 0.000 0.000
```

Values from the calculation:
formation energy from raw total energies = -1.62 eV per atom
symmetry = C2/m

Record 12
SrCaNd2Te4 | PBE | relaxed

Cell and atoms, written as POSCAR:
```
SrCaNd2Te4
1.0
-1.612 3.709 2.003
-7.149 -3.549 0.820
-0.195 -3.775 6.836
Te Nd Sr Ca
4 2 1 1
Direct
0.000 0.754 0.743
0.000 0.246 0.257
0.500 0.250 0.744
0.500 0.750 0.256
0.000 0.000 0.000
0.500 0.000 0.500
0.500 0.500 0.000
0.000 0.500 0.500
```

Values from the calculation:
formation energy from raw total energies = -1.53 eV per atom
symmetry = P2/m

Record 13
Sr3Ca2NdTe6 | PBE | relaxed

Cell and atoms, written as POSCAR:
```
Sr3Ca2NdTe6
1.0
4.608 0.000 0.000
0.000 9.272 0.318
-2.304 -2.683 9.724
Sr Ca Te Nd
3 2 6 1
Direct
0.500 0.500 0.000
0.167 0.831 0.333
0.833 0.169 0.667
0.833 0.665 0.665
0.167 0.335 0.335
0.669 0.575 0.338
0.997 0.756 0.994
0.331 0.425 0.662
0.003 0.244 0.006
0.336 0.910 0.673
0.664 0.090 0.327
0.500 0.000 0.000
```

Values from the calculation:
formation energy from raw total energies = -1.64 eV per atom
symmetry = C2/m

Record 14
SrCa3Nd2Te6 | PBE | relaxed

Cell and atoms, written as POSCAR:
```
SrCa3Nd2Te6
1.0
4.506 0.000 0.000
0.000 9.142 0.298
-2.253 -2.668 9.561
Te Ca Sr Nd
6 3 1 2
Direct
0.329 0.913 0.659
0.999 0.740 0.997
0.335 0.411 0.671
0.001 0.260 0.003
0.665 0.589 0.329
0.671 0.087 0.341
0.166 0.835 0.331
0.500 0.500 0.000
0.834 0.165 0.669
0.500 0.000 0.000
0.170 0.342 0.341
0.830 0.658 0.659
```

Values from the calculation:
formation energy from raw total energies = -1.56 eV per atom
symmetry = C2/m

Record 15
Sr2CaNdTe4 | PBE | relaxed

Cell and atoms, written as POSCAR:
```
Sr2CaNdTe4
1.0
4.595 0.000 0.000
0.000 7.996 0.146
0.000 -2.789 7.532
Te Sr Nd Ca
4 2 1 1
Direct
0.000 0.253 0.761
0.500 0.245 0.237
0.500 0.755 0.763
0.000 0.747 0.239
0.500 0.000 0.500
0.000 0.500 0.500
0.500 0.500 0.000
0.000 0.000 0.000
```

Values from the calculation:
formation energy from raw total energies = -1.62 eV per atom
symmetry = P2/m

Record 16
Sr3CaNd2Te6 | PBE | relaxed

Cell and atoms, written as POSCAR:
```
Sr3CaNd2Te6
1.0
-3.004 -0.427 -3.428
4.677 -7.379 -3.178
-5.232 -3.750 8.108
Te Nd Sr Ca
6 2 3 1
Direct
0.668 0.582 0.336
0.336 0.907 0.672
0.664 0.093 0.328
0.332 0.418 0.664
0.004 0.243 0.007
0.996 0.757 0.993
0.169 0.341 0.339
0.831 0.659 0.661
0.500 0.500 0.000
0.166 0.837 0.333
0.834 0.163 0.667
0.500 0.000 0.000
```

Values from the calculation:
formation energy from raw total energies = -1.60 eV per atom
symmetry = C2/m

Record 17
CaTb4Nd6 | PBE | relaxed

Cell and atoms, written as POSCAR:
```
CaTb4Nd6
1.0
-7.754 1.976 3.149
1.336 -3.768 -7.613
4.873 -6.504 2.811
Nd Tb Ca
6 4 1
Direct
0.500 0.500 0.000
0.500 0.000 0.500
0.666 0.258 0.258
0.000 0.742 0.408
0.334 0.592 0.592
0.000 0.408 0.742
0.524 0.451 0.451
0.476 0.927 0.927
0.000 0.073 0.549
0.000 0.549 0.073
0.000 0.000 0.000
```

Values from the calculation:
symmetry = I-42m

Record 18
CaTb3Nd2 | PBE | relaxed

Cell and atoms, written as POSCAR:
```
CaTb3Nd2
1.0
-1.412 -3.161 5.814
5.371 -1.886 -3.659
6.169 7.136 5.377
Nd Ca Tb
4 2 6
Direct
0.000 0.000 0.000
0.000 0.000 0.500
0.667 0.333 0.425
0.333 0.667 0.575
0.667 0.333 0.063
0.333 0.667 0.937
0.170 0.830 0.259
0.170 0.339 0.259
0.830 0.170 0.741
0.830 0.661 0.741
0.339 0.170 0.741
0.661 0.830 0.259
```

Values from the calculation:
symmetry = P-3m1

Record 19
CaTb4Nd2 | PBE | relaxed

Cell and atoms, written as POSCAR:
```
CaTb4Nd2
1.0
-1.461 2.450 2.235
1.048 0.142 3.466
14.928 14.510 -3.211
Ca Tb Nd
1 4 2
Direct
0.000 0.000 0.000
0.144 0.144 0.568
0.856 0.856 0.432
0.717 0.717 0.848
0.283 0.283 0.152
0.570 0.570 0.289
0.430 0.430 0.711
```

Values from the calculation:
symmetry = R-3m

Record 20
CaTb3Nd12 | PBE | relaxed

Cell and atoms, written as POSCAR:
```
CaTb3Nd12
1.0
-5.124 -0.571 0.590
0.813 -2.975 4.174
-0.484 16.825 12.089
Nd Tb Ca
12 3 1
Direct
0.500 0.500 0.251
0.500 0.000 0.129
0.500 0.000 0.871
0.500 0.500 0.500
0.500 0.000 0.624
0.000 0.500 0.129
0.000 0.500 0.376
0.000 0.500 0.871
0.000 0.500 0.624
0.500 0.000 0.376
0.500 0.500 0.749
0.500 0.500 0.000
0.000 0.000 0.251
0.000 0.000 0.500
0.000 0.000 0.749
0.000 0.000 0.000
```

Values from the calculation:
symmetry = P4/mmm

Record 21
CaTb3Nd4 | PBE | relaxed

Cell and atoms, written as POSCAR:
```
CaTb3Nd4
1.0
7.289 0.000 0.000
0.000 10.284 0.000
0.000 0.000 7.312
Tb Nd Ca
6 8 2
Direct
0.750 0.565 0.241
0.250 0.565 0.241
0.750 0.065 0.759
0.500 0.315 0.000
0.250 0.065 0.759
0.000 0.815 0.000
0.000 0.314 0.000
0.750 0.064 0.244
0.500 0.814 0.500
0.250 0.064 0.244
0.500 0.814 0.000
0.250 0.564 0.756
0.750 0.564 0.756
0.000 0.314 0.500
0.500 0.315 0.500
0.000 0.815 0.500
```

Values from the calculation:
symmetry = Pmna

Record 22
CaTbNd3 | PBE | relaxed

Cell and atoms, written as POSCAR:
```
CaTbNd3
1.0
-4.842 2.877 -0.385
-1.337 -3.115 -6.448
0.299 -3.180 13.844
Ca Nd Tb
2 6 2
Direct
0.609 0.826 0.217
0.391 0.174 0.783
0.393 0.681 0.785
0.998 0.754 0.996
0.799 0.144 0.597
0.201 0.856 0.403
0.607 0.319 0.215
0.002 0.246 0.004
0.200 0.351 0.399
0.800 0.649 0.601
```

Values from the calculation:
symmetry = C2/m
polymorph energy (0 for the lowest one) = 0.00 eV/f.u.

Record 23
CaTb7Nd3 | PBE | relaxed

Cell and atoms, written as POSCAR:
```
CaTb7Nd3
1.0
8.769 0.000 0.000
0.000 7.156 0.000
0.000 -3.578 6.198
Tb Nd Ca
7 3 1
Direct
0.115 0.670 0.835
0.115 0.165 0.330
0.444 0.338 0.169
0.124 0.667 0.333
0.115 0.165 0.835
0.444 0.831 0.169
0.444 0.831 0.662
0.789 0.503 0.497
0.789 0.503 0.006
0.789 0.994 0.497
0.445 0.333 0.667
```

Values from the calculation:
symmetry = P3m1
polymorph energy (0 for the lowest one) = 0.00 eV/f.u.

| no. | raw total energy (eV per atom) |
| --- | --- |
| 1 | -2.166 |
| 2 | -2.286 |
| 3 | -2.030 |
| 4 | -2.396 |
| 5 | -2.421 |
| 6 | -2.122 |
| 7 | -2.709 |
| 8 | -2.425 |
| 9 | -2.046 |
| 10 | -2.395 |
| 11 | -4.370 |
| 12 | -4.752 |
| 13 | -4.362 |
| 14 | -4.570 |
| 15 | -4.454 |
| 16 | -4.549 |
| 17 | -4.055 |
| 18 | -4.027 |
| 19 | -4.251 |
| 20 | -4.543 |
| 21 | -4.331 |
| 22 | -4.094 |
| 23 | -4.215 |